Entry 1:
VASP calculation (PBE) on ReB4As after structural relaxation.

extended XYZ file:
```
6
Lattice="-1.5121 2.6503 3.4752 1.5121 -2.6503 3.4752 1.5121 2.6503 -3.4752" Properties=species:S:1:pos:R:3 pbc="T T T"
Re 0.0000 0.0000 0.0000
B 1.5121 -0.8714 1.7429
B 1.5121 0.8714 1.7429
B 0.0000 1.7789 1.7322
B 0.0000 3.5218 1.7322
As 0.0000 0.0000 3.4752
```

Results
spin magnetization: 0.0 μB/f.u.
crystal system: orthorhombic
ΔE to the lowest computed polymorph: 0.155 eV per atom



Entry 2:
VASP calculation (PBE) on Li2YScNi2Pb2 after structural relaxation.

extended XYZ file:
```
8
Lattice="4.6089 0.0000 0.0000 0.0000 4.6089 0.0000 0.0000 0.0000 6.5330" Properties=species:S:1:pos:R:3 pbc="T T T"
Li 0.0000 2.3044 1.5364
Li 2.3044 0.0000 4.9965
Y 0.0000 0.0000 3.2665
Sc 2.3044 2.3044 0.0000
Ni 0.0000 2.3044 4.9824
Ni 2.3044 0.0000 1.5506
Pb 0.0000 0.0000 0.0000
Pb 2.3044 2.3044 3.2665
```

Results
DFT total energy: -4.798 eV/atom
spin magnetization: 0.0 μB/f.u.
crystal system: tetragonal



Entry 3:
VASP calculation (PBE) on LuSbPd after structural relaxation.

extended XYZ file:
```
9
Lattice="7.4033 0.0000 0.0000 -3.7016 6.4114 0.0000 0.0000 0.0000 4.0795" Properties=species:S:1:pos:R:3 pbc="T T T"
Lu -2.2454 3.8892 0.0000
Lu 1.4562 2.5222 0.0000
Lu 4.4909 0.0000 0.0000
Sb -1.0130 1.7546 2.0397
Sb 2.0261 0.0000 2.0397
Sb 2.6886 4.6568 2.0397
Pd 0.0000 0.0000 0.0000
Pd 0.0000 4.2743 2.0397
Pd 3.7016 2.1371 2.0397
```

Results
DFT total energy: -5.538 eV/atom
spin magnetization: 0.0 μB/f.u.
crystal system: hexagonal



Entry 4:
VASP calculation (PBE) on NdInPt after structural relaxation.

extended XYZ file:
```
9
Lattice="7.2554 0.0000 0.0000 -3.6277 6.2834 0.0000 0.0000 0.0000 4.5435" Properties=species:S:1:pos:R:3 pbc="T T T"
Nd -2.0342 3.5234 0.0000
Nd 1.5935 2.7600 0.0000
Nd 4.0684 0.0000 0.0000
In 0.0000 0.0000 0.0000
In 0.0000 4.1889 2.2718
In 3.6277 2.0945 2.2718
Pt -0.8631 1.4949 2.2718
Pt 1.7261 0.0000 2.2718
Pt 2.7647 4.7885 2.2718
```

Results
DFT total energy: -5.197 eV/atom
spin magnetization: 0.0 μB/f.u.
crystal system: hexagonal



Q: Number 2 is which compound?
A: Li2YScNi2Pb2